This record from Alexandria via LeMat-Bulk describes an optimized crystal structure of CrINF2. The functional is PBE with a Hubbard U.

Calculated values
energy	-4.05	eV per atom
symmetry	No. 123
energy above the most stable polymorph in this dataset	4.31	eV per formula unit

The structure in CIF format:
```
data_CrINF2
_symmetry_space_group_name_H-M 'P 1'
_symmetry_Int_Tables_number 1
_symmetry_space_group_name_Hall 'P 1'
_cell_length_a 4.811
_cell_length_b 4.811
_cell_length_c 4.042
_cell_angle_alpha 90.00
_cell_angle_beta 90.00
_cell_angle_gamma 90.00
loop_
_atom_site_label
_atom_site_type_symbol
_atom_site_fract_x
_atom_site_fract_y
_atom_site_fract_z
_atom_site_occupancy
I1 I 0.000 0.000 0.000 1
Cr1 Cr 0.500 0.500 0.500 1
N1 N 0.000 0.000 0.500 1
F1 F 0.000 0.500 0.000 1
F2 F 0.500 0.000 0.000 1
```